1.
TiNbSbO6 | Alexandria | PBE | relaxed; VASP energy = -0.5976 Ry/atom; spin magnetization = 0.00 Bohr magnetons per cell; D(E_F) = 0.00 states/eV/atom; raw formation energy = -21.34 eV per formula unit
1.0
4.904 0.000 0.000
-0.081 5.632 0.000
-2.446 -0.358 8.372
Ti Nb Sb O
2 2 2 12
direct
0.068 0.324 0.152
0.932 0.676 0.848
0.410 0.181 0.849
0.590 0.819 0.151
0.304 0.744 0.502
0.696 0.256 0.498
0.102 0.913 0.775
0.166 0.423 0.773
0.226 0.650 0.058
0.331 0.152 0.061
0.350 0.417 0.361
0.485 0.084 0.636
0.515 0.916 0.364
0.650 0.583 0.639
0.669 0.848 0.939
0.774 0.350 0.942
0.834 0.577 0.227
0.898 0.087 0.225

---

2.
SmEr3Se4 | Alexandria | PBE | relaxed; VASP energy = -0.4223 Ry/atom; relative energy among the computed polymorphs = 0.019 eV/atom; spin magnetization = 0.02 Bohr magnetons per cell; D(E_F) = 0.64 states/eV/atom; raw formation energy = -13.61 eV per formula unit
1.0
5.762 0.000 0.000
0.000 5.762 0.000
0.000 0.000 5.762
Sm Er Se
1 3 4
direct
0.000 0.000 0.000
0.000 0.500 0.500
0.500 0.000 0.500
0.500 0.500 0.000
0.000 0.000 0.500
0.000 0.500 0.000
0.500 0.000 0.000
0.500 0.500 0.500

---

3.
K3Na3Sn2 | Alexandria | PBE | relaxed; VASP energy = -0.1469 Ry/atom; energy of formation from the pure elements = -9 kJ per mole of atoms; spin magnetization = 0.00 Bohr magnetons per cell; D(E_F) = 0.53 states/eV/atom
1.0
4.694 0.000 0.000
0.002 6.936 0.000
2.333 2.979 10.982
K Na Sn
3 3 2
direct
0.000 0.000 0.000
0.170 0.542 0.661
0.830 0.458 0.339
0.365 0.011 0.269
0.500 0.500 0.000
0.635 0.989 0.731
0.234 0.111 0.532
0.766 0.889 0.468

---

4.
Rb2NaTlAu2 | Alexandria | PBE | relaxed; VASP energy = -0.1669 Ry/atom; energy of formation from the pure elements = -23 kJ per mole of atoms; spin magnetization = 0.00 Bohr magnetons per cell; D(E_F) = 0.46 states/eV/atom
1.0
-3.479 8.281 3.665
3.479 -8.281 3.665
3.479 8.281 -3.665
Rb Na Tl Au
4 2 2 4
direct
0.176 0.246 0.422
0.324 0.746 0.069
0.676 0.254 0.931
0.824 0.754 0.578
0.250 0.250 0.000
0.750 0.750 0.000
0.250 0.750 0.500
0.750 0.250 0.500
0.101 0.740 0.842
0.399 0.240 0.639
0.601 0.760 0.361
0.899 0.260 0.158

---

5.
Al2CuNi6 | Alexandria | PBE | relaxed; VASP energy = -0.3771 Ry/atom; energy of formation from the pure elements = 1 kJ per mole of atoms; spin magnetization = 0.00 Bohr magnetons per cell; D(E_F) = 1.25 states/eV/atom
1.0
-1.972 2.427 5.963
1.972 -2.427 5.963
1.972 2.427 -5.963
Al Cu Ni
2 1 6
direct
0.115 0.115 0.000
0.885 0.885 0.000
0.500 0.000 0.500
0.060 0.304 0.757
0.237 0.500 0.737
0.453 0.696 0.757
0.547 0.304 0.243
0.763 0.500 0.263
0.940 0.696 0.243

---

6.
SrCu3O | Alexandria | PBE | relaxed; VASP energy = -0.2736 Ry/atom; relative energy among the computed polymorphs = 0.000 eV/atom; spin magnetization = 0.00 Bohr magnetons per cell; D(E_F) = 0.46 states/eV/atom; raw formation energy = 0.32 eV per formula unit
1.0
4.360 0.000 0.000
0.000 4.360 0.000
0.000 0.000 4.360
Sr Cu O
1 3 1
direct
0.000 0.000 0.000
0.000 0.500 0.500
0.500 0.000 0.500
0.500 0.500 0.000
0.500 0.500 0.500

---

7.
Y2TaAu2 | Alexandria | PBE | relaxed; VASP energy = -0.4800 Ry/atom; energy of formation from the pure elements = -25 kJ per mole of atoms; spin magnetization = 0.00 Bohr magnetons per cell; D(E_F) = 1.01 states/eV/atom
1.0
7.898 0.000 0.000
0.000 7.898 0.000
0.000 0.000 3.675
Y Ta Au
4 2 4
direct
0.169 0.331 0.000
0.331 0.831 0.000
0.669 0.169 0.000
0.831 0.669 0.000
0.000 0.000 0.500
0.500 0.500 0.500
0.133 0.633 0.500
0.367 0.133 0.500
0.633 0.867 0.500
0.867 0.367 0.500

---

8.
RuS2Br | Alexandria | PBE | relaxed; VASP energy = -0.3642 Ry/atom; relative energy among the computed polymorphs = 0.000 eV/atom; spin magnetization = 0.00 Bohr magnetons per cell; D(E_F) = 0.96 states/eV/atom; raw formation energy = -0.62 eV per formula unit
1.0
3.637 0.000 0.000
-1.818 3.149 0.000
0.000 0.000 21.680
Ru S Br
3 6 3
direct
0.000 0.000 0.000
0.333 0.667 0.667
0.667 0.333 0.333
0.000 0.000 0.385
0.000 0.000 0.615
0.333 0.667 0.052
0.333 0.667 0.281
0.667 0.333 0.719
0.667 0.333 0.948
0.000 0.000 0.500
0.333 0.667 0.167
0.667 0.333 0.833

---

9.
Dy3AgHg4 | Alexandria | PBE | relaxed; VASP energy = -0.1861 Ry/atom; energy of formation from the pure elements = -29 kJ per mole of atoms; relative energy among the computed polymorphs = 0.000 eV/atom; spin magnetization = 0.00 Bohr magnetons per cell; D(E_F) = 0.56 states/eV/atom
1.0
3.627 0.000 0.000
0.000 9.230 0.000
0.000 0.000 12.460
Dy Ag Hg
6 2 8
direct
0.000 0.000 0.000
0.000 0.500 0.204
0.000 0.500 0.796
0.500 0.000 0.296
0.500 0.000 0.704
0.500 0.500 0.500
0.000 0.000 0.500
0.500 0.500 0.000
0.000 0.266 0.373
0.000 0.266 0.627
0.000 0.734 0.373
0.000 0.734 0.627
0.500 0.234 0.127
0.500 0.234 0.873
0.500 0.766 0.127
0.500 0.766 0.873

---

10.
PrSm7Cd2 | Alexandria | PBE | relaxed; VASP energy = -0.2630 Ry/atom; energy of formation from the pure elements = 37 kJ per mole of atoms; spin magnetization = 0.00 Bohr magnetons per cell; D(E_F) = 2.03 states/eV/atom
1.0
4.554 -7.890 0.000
4.554 7.890 0.000
0.000 0.000 5.432
Pr Sm Cd
1 7 2
direct
0.000 0.000 0.000
0.063 0.301 0.500
0.229 0.771 0.000
0.301 0.063 0.500
0.500 0.500 0.500
0.699 0.937 0.500
0.771 0.229 0.000
0.937 0.699 0.500
0.304 0.696 0.500
0.696 0.304 0.500

---

11.
Tl2CdRe | Alexandria | PBE | relaxed; VASP energy = -0.2789 Ry/atom; energy of formation from the pure elements = 70 kJ per mole of atoms; relative energy among the computed polymorphs = 0.078 eV/atom; spin magnetization = 0.37 Bohr magnetons per cell; D(E_F) = 0.83 states/eV/atom
1.0
3.022 0.000 0.000
-1.511 2.617 0.000
0.000 0.000 35.758
Tl Cd Re
6 3 3
direct
0.000 0.000 0.238
0.000 0.000 0.762
0.333 0.667 0.429
0.333 0.667 0.904
0.667 0.333 0.096
0.667 0.333 0.571
0.000 0.000 0.000
0.333 0.667 0.667
0.667 0.333 0.333
0.000 0.000 0.500
0.333 0.667 0.167
0.667 0.333 0.833

---

12.
Th6MgCo2C3 | Alexandria | PBE | relaxed; VASP energy = -0.5451 Ry/atom; energy of formation from the pure elements = -8 kJ per mole of atoms; spin magnetization = 0.00 Bohr magnetons per cell; D(E_F) = 1.02 states/eV/atom
1.0
9.384 -1.900 0.000
9.384 1.900 0.000
-2.850 0.000 7.233
Th Mg Co C
6 1 2 3
direct
0.041 0.041 0.342
0.310 0.310 0.689
0.353 0.353 0.226
0.647 0.647 0.774
0.690 0.690 0.311
0.959 0.959 0.658
0.500 0.500 0.000
0.115 0.115 0.044
0.885 0.885 0.956
0.170 0.170 0.578
0.500 0.500 0.500
0.830 0.830 0.422

---

13.
KMo2Cl | Alexandria | PBE | relaxed; VASP energy = -0.3978 Ry/atom; relative energy among the computed polymorphs = 0.662 eV/atom; spin magnetization = 0.00 Bohr magnetons per cell; D(E_F) = 0.35 states/eV/atom; raw formation energy = 2.96 eV per formula unit
1.0
3.717 0.000 0.000
0.000 3.717 0.000
0.000 0.000 8.212
K Mo Cl
1 2 1
direct
0.000 0.000 0.000
0.000 0.500 0.500
0.500 0.000 0.500
0.500 0.500 0.000

---

14.
La2MoBr | Alexandria | PBE | relaxed; VASP energy = -0.4194 Ry/atom; relative energy among the computed polymorphs = 0.254 eV/atom; spin magnetization = 1.21 Bohr magnetons per cell; D(E_F) = 0.97 states/eV/atom; raw formation energy = -0.47 eV per formula unit
1.0
5.503 0.000 0.000
0.000 5.503 0.000
0.000 0.000 3.451
La Mo Br
2 1 1
direct
0.000 0.500 0.000
0.500 0.000 0.000
0.000 0.000 0.500
0.500 0.500 0.500

---

15.
YCl | Alexandria | PBE | relaxed; VASP energy = -0.4085 Ry/atom; spin magnetization = 0.00 Bohr magnetons per cell; D(E_F) = 0.37 states/eV/atom; raw formation energy = -2.81 eV per formula unit
1.0
3.638 0.000 0.000
0.000 3.638 0.000
0.000 0.000 8.393
Y Cl
2 2
direct
0.250 0.250 0.149
0.750 0.750 0.851
0.250 0.250 0.688
0.750 0.750 0.312

---

16.
ZnTeSe2 | Alexandria | PBE | relaxed; VASP energy = -0.2096 Ry/atom; relative energy among the computed polymorphs = 0.120 eV/atom; spin magnetization = 0.00 Bohr magnetons per cell; D(E_F) = 0.50 states/eV/atom; raw formation energy = -0.02 eV per formula unit
1.0
3.742 0.000 0.000
0.000 3.742 0.000
0.000 0.000 8.553
Zn Te Se
1 1 2
direct
0.000 0.000 0.000
0.500 0.500 0.444
0.000 0.000 0.344
0.500 0.500 0.961

---

17.
Ca3InAg8 | Alexandria | PBE | relaxed; VASP energy = -0.2108 Ry/atom; energy of formation from the pure elements = -23 kJ per mole of atoms; spin magnetization = 0.00 Bohr magnetons per cell; D(E_F) = 0.36 states/eV/atom
1.0
2.840 1.640 9.413
-2.840 1.640 9.413
0.000 -3.279 9.413
Ca In Ag
3 1 8
direct
0.000 0.000 0.000
0.129 0.129 0.129
0.614 0.614 0.614
0.494 0.494 0.494
0.059 0.059 0.562
0.059 0.560 0.560
0.059 0.562 0.059
0.310 0.310 0.310
0.560 0.059 0.560
0.560 0.560 0.059
0.562 0.059 0.059
0.810 0.810 0.810

---

18.
Pm2NpZn2Rh5 | Alexandria | PBE | relaxed; VASP energy = -0.4951 Ry/atom; energy of formation from the pure elements = -54 kJ per mole of atoms; spin magnetization = 5.30 Bohr magnetons per cell; D(E_F) = 1.27 states/eV/atom
1.0
9.922 0.000 0.000
0.000 9.922 0.000
0.000 0.000 3.694
Pm Np Zn Rh
4 2 4 10
direct
0.170 0.330 0.000
0.330 0.830 0.000
0.670 0.170 0.000
0.830 0.670 0.000
0.000 0.000 0.000
0.500 0.500 0.000
0.125 0.625 0.000
0.375 0.125 0.000
0.625 0.875 0.000
0.875 0.375 0.000
0.000 0.500 0.500
0.067 0.798 0.500
0.202 0.067 0.500
0.298 0.567 0.500
0.433 0.298 0.500
0.500 0.000 0.500
0.567 0.702 0.500
0.702 0.433 0.500
0.798 0.933 0.500
0.933 0.202 0.500

---

19.
Pm3PrSb3 | Alexandria | PBE | relaxed; VASP energy = -0.3884 Ry/atom; relative energy among the computed polymorphs = 0.263 eV/atom; spin magnetization = 0.01 Bohr magnetons per cell; D(E_F) = 0.92 states/eV/atom; raw formation energy = -5.59 eV per formula unit
1.0
9.276 0.000 0.000
-4.638 8.034 0.000
0.000 0.000 5.877
Pm Pr Sb
6 2 6
direct
0.010 0.758 0.250
0.242 0.252 0.250
0.252 0.010 0.750
0.748 0.990 0.250
0.758 0.748 0.750
0.990 0.242 0.750
0.333 0.667 0.250
0.667 0.333 0.750
0.054 0.629 0.750
0.371 0.425 0.750
0.425 0.054 0.250
0.575 0.946 0.750
0.629 0.575 0.250
0.946 0.371 0.250

---

20.
Nb5Ga2H | Alexandria | PBE | relaxed; VASP energy = -0.5517 Ry/atom; spin magnetization = 0.00 Bohr magnetons per cell; D(E_F) = 0.46 states/eV/atom
1.0
5.916 0.000 0.000
0.000 5.916 0.000
0.000 0.000 7.636
Nb Ga H
10 4 2
direct
0.000 0.000 0.000
0.246 0.246 0.249
0.246 0.754 0.249
0.254 0.254 0.749
0.254 0.746 0.749
0.500 0.500 0.500
0.746 0.254 0.749
0.746 0.746 0.749
0.754 0.246 0.249
0.754 0.754 0.249
0.000 0.500 0.000
0.000 0.500 0.500
0.500 0.000 0.000
0.500 0.000 0.500
0.000 0.000 0.727
0.500 0.500 0.227

---

21.
Ac2AsPdO5 | Alexandria | PBE | relaxed; VASP energy = -0.4801 Ry/atom; spin magnetization = 1.24 Bohr magnetons per cell; D(E_F) = 0.34 states/eV/atom; raw formation energy = -15.94 eV per formula unit
1.0
7.335 0.000 0.000
0.000 7.335 0.000
0.000 0.000 5.719
Ac As Pd O
4 2 2 10
direct
0.185 0.315 0.000
0.315 0.815 0.000
0.685 0.185 0.000
0.815 0.685 0.000
0.000 0.500 0.500
0.500 0.000 0.500
0.000 0.000 0.500
0.500 0.500 0.500
0.000 0.000 0.000
0.123 0.623 0.257
0.123 0.623 0.743
0.377 0.123 0.257
0.377 0.123 0.743
0.500 0.500 0.000
0.623 0.877 0.257
0.623 0.877 0.743
0.877 0.377 0.257
0.877 0.377 0.743

---

22.
NaMgSi | Alexandria | PBE | relaxed; VASP energy = -0.2041 Ry/atom; spin magnetization = 0.00 Bohr magnetons per cell; D(E_F) = 0.32 states/eV/atom; raw formation energy = 0.00 eV per formula unit
1.0
10.518 0.000 0.000
0.000 4.487 0.000
-4.662 0.000 5.926
Na Mg Si
4 4 4
direct
0.087 0.000 0.345
0.413 0.500 0.655
0.587 0.500 0.345
0.913 0.000 0.655
0.192 0.500 0.092
0.308 0.000 0.908
0.692 0.000 0.092
0.808 0.500 0.908
0.129 0.500 0.683
0.371 0.000 0.317
0.629 0.000 0.683
0.871 0.500 0.317

---

23.
La3NdDy3 | Alexandria | PBE | relaxed; VASP energy = -0.3475 Ry/atom; energy of formation from the pure elements = 4 kJ per mole of atoms; relative energy among the computed polymorphs = 0.000 eV/atom; spin magnetization = 0.00 Bohr magnetons per cell; D(E_F) = 1.86 states/eV/atom
1.0
9.807 0.000 0.000
-4.904 8.493 0.000
0.000 0.000 5.861
La Nd Dy
6 2 6
direct
0.097 0.472 0.250
0.376 0.903 0.250
0.472 0.376 0.750
0.528 0.624 0.250
0.624 0.097 0.750
0.903 0.528 0.750
0.333 0.667 0.750
0.667 0.333 0.250
0.046 0.231 0.750
0.185 0.954 0.750
0.231 0.185 0.250
0.769 0.815 0.750
0.815 0.046 0.250
0.954 0.769 0.250